<1>
Here is a relaxed Tb5Y12Er2 crystal from the Alexandria database. Energies are from PBE-GGA.

Geometry as extended XYZ:
```
19
Lattice="6.169 0.000 0.000 0.002 9.408 0.000 1.039 2.047 10.446" Properties=species:S:1:pos:R:3 pbc="T T T"
Tb 0.000 0.000 0.000
Tb 1.024 6.053 0.544
Tb 3.098 7.417 4.951
Tb 4.112 4.039 5.495
Tb 6.186 5.403 9.902
Y 1.028 3.369 7.142
Y 1.041 4.713 3.854
Y 2.066 9.434 7.686
Y 2.055 2.691 1.103
Y 3.092 6.075 8.243
Y 3.082 8.741 1.653
Y 4.129 2.715 8.793
Y 4.118 5.381 2.203
Y 5.156 8.764 9.344
Y 5.144 2.022 2.760
Y 6.170 6.742 6.592
Y 6.183 8.087 3.304
Er 2.066 1.352 4.411
Er 5.145 10.103 6.036
```

Density = 6.01 g cm⁻³
V = 31.9 A^3/atom
Size of the total moment = 0.00 μB per cell

=====

<2>
Here is a relaxed Tb5Y12Er2 crystal from the Alexandria database. Energies are from PBE-GGA.

Geometry as extended XYZ:
```
19
Lattice="7.750 -4.659 0.000 7.750 4.659 0.000 -0.294 0.000 8.621" Properties=species:S:1:pos:R:3 pbc="T T T"
Tb 0.000 0.000 0.000
Tb 3.545 0.000 0.616
Tb 4.435 0.000 4.130
Tb 10.771 0.000 4.491
Tb 11.661 0.000 8.005
Y 5.360 2.985 2.265
Y 1.046 0.000 3.213
Y 5.502 1.785 7.169
Y 9.846 2.985 6.356
Y 9.704 1.785 1.452
Y 6.808 0.000 1.431
Y 8.398 0.000 7.190
Y 5.502 -1.785 7.169
Y 5.360 -2.985 2.265
Y 9.704 -1.785 1.452
Y 14.160 0.000 5.408
Y 9.846 -2.985 6.356
Er 7.603 1.600 4.311
Er 7.603 -1.600 4.311
```

Density = 5.86 g cm⁻³
V = 32.8 A^3/atom
Size of the total moment = 0.00 μB per cell

=====

Relative energies, in meV/atom, with the most stable structure set to zero: <1> 0; <2> 101.

=====

<1>
Here is a relaxed TbY6Er4 crystal from the Alexandria database. Energies are from PBE-GGA.

Geometry as extended XYZ:
```
22
Lattice="2.826 -4.838 0.000 2.826 4.838 0.000 0.000 0.000 25.673" Properties=species:S:1:pos:R:3 pbc="T T T"
Tb 2.826 3.152 19.255
Tb 2.826 -3.152 6.418
Y 2.826 3.318 4.650
Y 2.826 3.318 8.187
Y 2.826 3.133 15.479
Y 2.826 3.133 23.031
Y 2.826 0.078 6.418
Y 2.826 0.000 0.000
Y 2.826 0.000 12.837
Y 2.826 -0.078 19.255
Y 2.826 -3.133 2.643
Y 2.826 -3.133 10.194
Y 2.826 -3.318 17.486
Y 2.826 -3.318 21.023
Er 2.826 3.260 1.078
Er 2.826 3.260 11.759
Er 2.826 0.115 3.109
Er 2.826 0.115 9.728
Er 2.826 -0.115 15.945
Er 2.826 -0.115 22.564
Er 2.826 -3.260 13.914
Er 2.826 -3.260 24.596
```

Density = 6.44 g cm⁻³
V = 31.9 A^3/atom
Size of the total moment = 0.00 μB per cell

=====

<2>
Here is a relaxed TbY6Er4 crystal from the Alexandria database. Energies are from PBE-GGA.

Geometry as extended XYZ:
```
11
Lattice="10.869 0.000 0.000 -5.434 9.413 0.000 0.000 0.000 3.538" Properties=species:S:1:pos:R:3 pbc="T T T"
Tb 0.000 0.000 0.000
Y 0.000 3.441 1.769
Y -2.454 7.692 1.769
Y 5.434 0.383 0.000
Y 3.049 4.515 0.000
Y 2.454 7.692 1.769
Y 7.820 4.515 0.000
Er 2.612 1.508 1.769
Er 0.000 6.275 0.000
Er 8.257 1.508 1.769
Er 5.434 6.396 1.769
```

Density = 6.25 g cm⁻³
V = 32.9 A^3/atom
Size of the total moment = 0.00 μB per cell

=====

Relative energies, in meV/atom, with the most stable structure set to zero: <1> 0; <2> 39.

=====

<1>
Here is a relaxed TbYEr6 crystal from the Alexandria database. Energies are from PBE-GGA.

Geometry as extended XYZ:
```
8
Lattice="5.570 -2.490 0.000 5.570 2.490 0.000 -4.441 0.000 8.894" Properties=species:S:1:pos:R:3 pbc="T T T"
Tb 0.000 0.000 0.000
Y -2.220 0.000 4.447
Er 1.120 0.000 3.331
Er -1.101 0.000 7.786
Er 4.466 0.000 2.219
Er 2.234 0.000 6.674
Er 7.801 0.000 1.108
Er 5.579 0.000 5.563
```

Density = 8.42 g cm⁻³
V = 30.8 A^3/atom
Size of the total moment = 0.00 μB per cell

=====

<2>
Here is a relaxed TbYEr6 crystal from the Alexandria database. Energies are from PBE-GGA.

Geometry as extended XYZ:
```
8
Lattice="6.518 0.000 0.000 -0.036 6.686 0.000 -1.615 -3.325 5.795" Properties=species:S:1:pos:R:3 pbc="T T T"
Tb 0.000 0.000 0.000
Y 3.259 0.000 0.000
Er 0.688 4.468 2.769
Er 1.613 3.025 0.003
Er 0.898 1.125 3.019
Er 3.969 2.236 2.776
Er 3.254 0.336 5.792
Er 4.178 -1.107 3.026
```

Density = 8.23 g cm⁻³
V = 31.6 A^3/atom
Size of the total moment = 0.00 μB per cell

=====

Relative energies, in meV/atom, with the most stable structure set to zero: <1> 0; <2> 189.

=====

<1>
Here is a relaxed Tb2Y2Er5 crystal from the Alexandria database. Energies are from PBE-GGA.

Geometry as extended XYZ:
```
18
Lattice="-7.415 5.835 3.339 7.415 -5.835 3.339 7.415 5.835 -3.339" Properties=species:S:1:pos:R:3 pbc="T T T"
Tb 0.000 0.000 0.000
Tb 7.415 0.000 0.000
Tb 11.123 -0.154 0.672
Tb 3.708 0.154 0.672
Y 1.879 -0.073 3.667
Y 5.536 -0.073 3.667
Y 1.879 5.908 0.329
Y 5.536 5.908 0.329
Er 2.114 2.771 -0.771
Er 5.301 2.771 -0.771
Er 11.123 2.859 -0.716
Er -0.780 2.827 1.347
Er 8.195 2.827 1.347
Er 2.114 3.063 2.568
Er 5.301 3.063 2.568
Er -3.708 2.976 2.623
Er 0.780 8.842 1.347
Er -0.780 3.008 4.685
```

Density = 7.66 g cm⁻³
V = 32.1 A^3/atom
Size of the total moment = 0.00 μB per cell

=====

<2>
Here is a relaxed Tb2Y2Er5 crystal from the Alexandria database. Energies are from PBE-GGA.

Geometry as extended XYZ:
```
9
Lattice="8.140 -2.874 0.000 8.140 2.874 0.000 -1.676 0.000 6.068" Properties=species:S:1:pos:R:3 pbc="T T T"
Tb 1.637 0.000 0.077
Tb 12.967 0.000 5.991
Y 5.951 0.000 4.315
Y 8.653 0.000 1.753
Er -0.838 0.000 3.034
Er 2.448 0.000 3.472
Er 4.975 0.000 0.868
Er 9.629 0.000 5.200
Er 12.156 0.000 2.596
```

Density = 7.79 g cm⁻³
V = 31.6 A^3/atom
Size of the total moment = 0.00 μB per cell

=====

Relative energies, in meV/atom, with the most stable structure set to zero: <1> 97; <2> 0.

=====

<1>
Here is a relaxed Tb2Y3Er6 crystal from the Alexandria database. Energies are from PBE-GGA.

Geometry as extended XYZ:
```
11
Lattice="-2.353 2.353 16.467 2.353 -2.353 16.467 2.353 2.353 -16.467" Properties=species:S:1:pos:R:3 pbc="T T T"
Tb 0.000 0.000 1.519
Tb 0.000 0.000 31.415
Y 0.000 0.000 9.798
Y 0.000 0.000 16.467
Y 0.000 0.000 23.136
Er 2.353 0.000 3.981
Er 0.000 0.000 6.359
Er 2.353 0.000 12.486
Er 0.000 2.353 3.981
Er 0.000 0.000 26.575
Er 0.000 2.353 12.486
```

Density = 7.23 g cm⁻³
V = 33.1 A^3/atom
Size of the total moment = 0.00 μB per cell

=====

<2>
Here is a relaxed Tb2Y3Er6 crystal from the Alexandria database. Energies are from PBE-GGA.

Geometry as extended XYZ:
```
11
Lattice="5.996 0.000 0.000 -2.354 7.939 0.000 -2.599 -3.066 7.286" Properties=species:S:1:pos:R:3 pbc="T T T"
Tb -0.668 1.352 2.629
Tb 1.710 3.521 4.657
Y -1.177 3.969 0.000
Y -1.234 4.771 3.342
Y 2.276 0.102 3.944
Er -0.897 -1.120 5.383
Er -0.897 7.337 0.631
Er -1.192 2.267 5.844
Er 2.234 2.606 1.442
Er 1.939 -2.464 6.655
Er 1.939 5.993 1.903
```

Density = 7.60 g cm⁻³
V = 31.5 A^3/atom
Size of the total moment = 0.00 μB per cell

=====

Relative energies, in meV/atom, with the most stable structure set to zero: <1> 190; <2> 0.

=====

<1>
Here is a relaxed Tb4Y3Er crystal from the Alexandria database. Energies are from PBE-GGA.

Geometry as extended XYZ:
```
8
Lattice="11.719 -1.742 0.000 11.719 1.742 0.000 -1.894 0.000 6.404" Properties=species:S:1:pos:R:3 pbc="T T T"
Tb 2.211 0.000 2.356
Tb 4.667 0.000 4.857
Tb 16.878 0.000 1.546
Tb 19.334 0.000 4.048
Y -0.947 0.000 3.202
Y 1.249 0.000 5.647
Y 20.296 0.000 0.756
Er 11.719 0.000 0.000
```

Density = 6.79 g cm⁻³
V = 32.7 A^3/atom
Size of the total moment = 0.00 μB per cell

=====

<2>
Here is a relaxed Tb4Y3Er crystal from the Alexandria database. Energies are from PBE-GGA.

Geometry as extended XYZ:
```
16
Lattice="11.284 0.000 0.000 0.000 7.285 0.000 0.000 0.000 6.298" Properties=species:S:1:pos:R:3 pbc="T T T"
Tb 0.000 0.907 0.000
Tb 0.000 6.377 3.140
Tb 2.809 6.375 5.229
Tb 2.833 0.910 2.080
Tb 5.642 0.908 6.289
Tb 5.642 6.378 3.149
Tb 8.451 0.910 2.080
Tb 8.476 6.375 5.229
Y 0.000 2.733 3.123
Y 2.817 2.731 5.235
Y 2.825 4.554 2.086
Y 5.642 4.552 6.272
Y 8.467 2.731 5.235
Y 8.459 4.554 2.086
Er 0.000 4.558 6.274
Er 5.642 2.727 3.125
```

Density = 6.86 g cm⁻³
V = 32.4 A^3/atom
Size of the total moment = 0.01 μB per cell

=====

Relative energies, in meV/atom, with the most stable structure set to zero: <1> 162; <2> 0.

=====

<1>
Here is a relaxed Tb3Y2Er2 crystal from the Alexandria database. Energies are from PBE-GGA.

Geometry as extended XYZ:
```
7
Lattice="7.744 -1.771 0.000 7.744 1.771 0.000 -3.260 0.000 8.059" Properties=species:S:1:pos:R:3 pbc="T T T"
Tb 0.000 0.000 0.000
Tb 1.641 0.000 6.905
Tb 10.587 0.000 1.154
Y 5.704 0.000 2.315
Y 6.523 0.000 5.744
Er 0.834 0.000 3.451
Er 11.394 0.000 4.608
```

Density = 7.43 g cm⁻³
V = 31.6 A^3/atom
Size of the total moment = 0.00 μB per cell

=====

<2>
Here is a relaxed Tb3Y2Er2 crystal from the Alexandria database. Energies are from PBE-GGA.

Geometry as extended XYZ:
```
7
Lattice="-1.763 2.730 11.604 1.763 -2.730 11.604 1.763 2.730 -11.604" Properties=species:S:1:pos:R:3 pbc="T T T"
Tb 0.000 0.000 0.000
Tb 1.763 0.000 6.407
Tb 0.000 2.730 5.198
Y 0.000 0.000 3.290
Y 0.000 0.000 19.919
Er 0.000 0.000 9.783
Er 0.000 0.000 13.426
```

Density = 7.35 g cm⁻³
V = 31.9 A^3/atom
Size of the total moment = 0.00 μB per cell

=====

Relative energies, in meV/atom, with the most stable structure set to zero: <1> 0; <2> 34.

=====

<1>
Here is a relaxed Tb5Y2Er4 crystal from the Alexandria database. Energies are from PBE-GGA.

Geometry as extended XYZ:
```
11
Lattice="8.261 -3.309 0.000 8.261 3.309 0.000 -1.226 0.000 6.488" Properties=species:S:1:pos:R:3 pbc="T T T"
Tb 0.000 0.000 0.000
Tb 6.074 1.564 3.870
Tb 9.221 1.564 2.617
Tb 6.074 -1.564 3.870
Tb 9.221 -1.564 2.617
Y 2.349 0.000 5.237
Y 12.947 0.000 1.251
Er 3.652 0.000 2.067
Er 6.672 0.000 0.618
Er 8.624 0.000 5.870
Er 11.643 0.000 4.421
```

Density = 7.69 g cm⁻³
V = 32.2 A^3/atom
Size of the total moment = 0.01 μB per cell

=====

<2>
Here is a relaxed Tb5Y2Er4 crystal from the Alexandria database. Energies are from PBE-GGA.

Geometry as extended XYZ:
```
11
Lattice="5.497 -3.647 0.000 5.497 3.647 0.000 -2.638 0.000 8.773" Properties=species:S:1:pos:R:3 pbc="T T T"
Tb 0.000 0.000 0.000
Tb 2.817 1.606 6.376
Tb 5.539 1.606 2.397
Tb 2.817 -1.606 6.376
Tb 5.539 -1.606 2.397
Y -0.043 0.000 5.456
Y 8.399 0.000 3.317
Er 3.432 0.000 0.030
Er 2.672 0.000 3.349
Er 5.684 0.000 5.424
Er 4.924 0.000 8.743
```

Density = 7.75 g cm⁻³
V = 32.0 A^3/atom
Size of the total moment = 0.00 μB per cell

=====

Relative energies, in meV/atom, with the most stable structure set to zero: <1> 30; <2> 0.

=====

<1>
Here is a relaxed Tb4Y7Er crystal from the Alexandria database. Energies are from PBE-GGA.

Geometry as extended XYZ:
```
12
Lattice="6.044 -2.938 0.000 6.044 2.938 0.000 -6.005 0.000 11.261" Properties=species:S:1:pos:R:3 pbc="T T T"
Tb 0.068 0.000 3.105
Tb -1.706 0.000 9.315
Tb 7.790 0.000 1.946
Tb 6.015 0.000 8.156
Y -3.002 0.000 5.630
Y -4.382 0.000 11.225
Y 0.030 0.000 6.487
Y 4.118 0.000 2.112
Y 1.966 0.000 9.149
Y 6.054 0.000 4.774
Y 10.466 0.000 0.036
Er 3.042 0.000 5.630
```

Density = 5.92 g cm⁻³
V = 33.3 A^3/atom
Size of the total moment = 0.48 μB per cell

=====

<2>
Here is a relaxed Tb4Y7Er crystal from the Alexandria database. Energies are from PBE-GGA.

Geometry as extended XYZ:
```
12
Lattice="6.519 0.000 0.000 0.948 6.737 0.000 2.082 0.348 8.840" Properties=species:S:1:pos:R:3 pbc="T T T"
Tb 1.807 2.201 2.500
Tb 4.491 6.169 6.127
Tb 5.059 0.916 2.713
Tb 7.742 4.883 6.340
Y 2.295 2.025 8.394
Y 2.706 5.549 3.195
Y 3.671 2.853 5.427
Y 3.260 0.000 0.000
Y 5.879 4.232 3.412
Y 6.843 1.536 5.645
Y 7.255 5.059 0.446
Er 3.734 3.368 0.000
```

Density = 6.10 g cm⁻³
V = 32.4 A^3/atom
Size of the total moment = 0.00 μB per cell

=====

Relative energies, in meV/atom, with the most stable structure set to zero: <1> 207; <2> 0.

=====

<1>
Here is a relaxed Tb2Y3Er3 crystal from the Alexandria database. Energies are from PBE-GGA.

Geometry as extended XYZ:
```
8
Lattice="4.753 2.744 3.341 -4.753 2.744 3.341 0.000 -5.489 3.341" Properties=species:S:1:pos:R:3 pbc="T T T"
Tb 0.000 0.000 1.938
Tb 0.000 0.000 8.086
Y -1.358 -2.353 5.012
Y -1.358 2.353 5.012
Y 2.717 0.000 5.012
Er -3.271 0.177 3.341
Er 1.482 -2.922 3.341
Er 1.789 2.744 3.341
```

Density = 6.90 g cm⁻³
V = 32.7 A^3/atom
Size of the total moment = 0.00 μB per cell

=====

<2>
Here is a relaxed Tb2Y3Er3 crystal from the Alexandria database. Energies are from PBE-GGA.

Geometry as extended XYZ:
```
8
Lattice="8.021 -2.853 0.000 8.021 2.853 0.000 -2.203 0.000 5.575" Properties=species:S:1:pos:R:3 pbc="T T T"
Tb 3.613 0.000 1.025
Tb 10.226 0.000 4.550
Y 0.000 0.000 0.000
Y 0.838 0.000 3.211
Y 13.001 0.000 2.363
Er 4.133 0.000 4.550
Er 6.920 0.000 2.787
Er 9.706 0.000 1.025
```

Density = 7.07 g cm⁻³
V = 31.9 A^3/atom
Size of the total moment = 0.00 μB per cell

=====

Relative energies, in meV/atom, with the most stable structure set to zero: <1> 40; <2> 0.